Crystalline ReRh at its relaxed geometry, computed with PBE-GGA.

a b c (Å): 4.381 4.778 5.518
angles (deg): 90.21 90.00 90.00
Positions (direct):
1 Re 0.000 0.043 0.937
2 Re 0.500 0.710 0.939
3 Re 0.500 0.201 0.686
4 Re 0.500 0.711 0.435
5 Rh 0.000 0.542 0.689
6 Rh 0.000 0.039 0.437
7 Rh 0.000 0.543 0.184
8 Rh 0.500 0.211 0.193

Calculated values
As for the formation enthalpy at 0 K: -0.153 eV per atom. The space group is Pm.

=====

Crystalline AgRh2Se at its relaxed geometry, computed with PBE-GGA.

a b c (Å): 3.964 3.964 6.075
angles (deg): 79.05 79.05 46.78
Positions (direct):
1 Ag 0.250 0.250 0.250
2 Rh 0.007 0.007 0.951
3 Rh 0.493 0.493 0.549
4 Se 0.750 0.750 0.750

Calculated values
The space group is C2/m. The value obtained for the formation energy without anion corrections is 0.1215 eV per atom.

=====

Crystalline Zr2BH2 at its relaxed geometry, computed with PBE-GGA.

a b c (Å): 3.070 3.070 6.259
angles (deg): 75.80 75.80 90.00
Positions (direct):
1 H 0.750 0.250 0.500
2 H 0.250 0.750 0.500
3 B 0.000 0.000 0.000
4 Zr 0.371 0.371 0.258
5 Zr 0.629 0.629 0.742

Calculated values
As for the total DFT energy (no corrections): -6.425 eV per atom. The space group is I4/mmm.

=====

Crystalline CdBi2HAu at its relaxed geometry, computed with PBE-GGA.

a b c (Å): 5.816 5.816 3.471
angles (deg): 90.00 90.00 90.00
Positions (direct):
1 H 0.000 0.000 0.500
2 Au 0.000 0.000 0.000
3 Bi 0.000 0.500 0.000
4 Bi 0.500 0.000 0.000
5 Cd 0.500 0.500 0.500

Calculated values
As for the total DFT energy (no corrections): -2.951 eV per atom. The space group is P4/mmm.

=====

Repeat the second record exactly.
Crystalline AgRh2Se at its relaxed geometry, computed with PBE-GGA.

a b c (Å): 3.964 3.964 6.075
angles (deg): 79.05 79.05 46.78
Positions (direct):
1 Ag 0.250 0.250 0.250
2 Rh 0.007 0.007 0.951
3 Rh 0.493 0.493 0.549
4 Se 0.750 0.750 0.750

Calculated values
The space group is C2/m. The value obtained for the formation energy without anion corrections is 0.1215 eV per atom.